# La3Pm5Pr3 PBE optimized geometry
data_La3Pm5Pr3
_cell_length_a 9.7363
_cell_length_b 9.7363
_cell_length_c 5.6342
_cell_angle_alpha 90.00
_cell_angle_beta 90.00
_cell_angle_gamma 120.00
_symmetry_space_group_name_H-M 'P -6 2 m'
_symmetry_Int_Tables_number 189
_symmetry_space_group_name_Hall 'P -6 -2'
loop_
_atom_site_label
_atom_site_type_symbol
_atom_site_fract_x
_atom_site_fract_y
_atom_site_fract_z
La1 La 0.0000 0.3648 0.0000
Pm1 Pm 0.0000 0.7278 0.0000
Pm2 Pm 0.3333 0.6667 0.0000
Pr1 Pr 0.0000 0.4954 0.5000
# Electronic total energy ... -4.142 eV/atom
# Mass density ... 5.62 g/cm³
# Offset from the most stable computed form ... 0.011 eV/atom

---

# CdAs3S PBE optimized geometry
data_CdAs3S
_cell_length_a 5.119
_cell_length_b 5.119
_cell_length_c 5.119
_cell_angle_alpha 90.00
_cell_angle_beta 90.00
_cell_angle_gamma 90.00
_symmetry_space_group_name_H-M 'P m -3 m'
_symmetry_Int_Tables_number 221
_symmetry_space_group_name_Hall '-P 4 2 3'
loop_
_atom_site_label
_atom_site_type_symbol
_atom_site_fract_x
_atom_site_fract_y
_atom_site_fract_z
Cd1 Cd 0.000 0.000 0.000
As1 As 0.000 0.000 0.500
S1 S 0.500 0.500 0.500
# Electronic total energy ... -2.531 eV/atom
# Energy relative to the elements, uncorrected ... 1.267 eV per atom
# Mass density ... 4.57 g/cm³
# Offset from the most stable computed form ... 0.622 eV/atom